# 1
# CoRe2Tc

CoRe2Tc after structural relaxation (PBE-GGA, Alexandria via LeMat-Bulk).

Geometry as POSCAR:
```
CoRe2Tc
1.0
3.1333 0.0000 0.0000
0.0000 3.1333 0.0000
0.0000 0.0000 5.6671
Co Re Tc
1 2 1
Direct
0.5000 0.5000 0.7703 Co
0.0000 0.0000 0.9626 Re
0.5000 0.5000 0.2491 Re
0.0000 0.0000 0.5179 Tc
```

Results
The formation energy is 0.16 eV per atom. The space group is P4mm (99). Its theoretical density is 15.80 g cm⁻³. The calculation puts the energy above the most stable polymorph in this dataset at 13.1 kJ per mole of atoms.


# 2
# Er2BIr3

Er2BIr3 after structural relaxation (PBE-GGA, Alexandria via LeMat-Bulk).

Geometry as POSCAR:
```
Er2BIr3
1.0
3.1826 0.0000 0.0000
0.0000 5.2446 0.0000
-1.5913 -2.6223 6.3420
Er B Ir
2 1 3
Direct
0.6864 0.1864 0.3728 Er
0.3136 0.8136 0.6272 Er
0.0000 0.5000 0.0000 B
0.3884 0.3884 0.7769 Ir
0.0000 0.0000 0.0000 Ir
0.6116 0.6116 0.2231 Ir
```

Results
The formation energy is -0.24 eV per atom. The space group is Immm (71). Its theoretical density is 14.46 g cm⁻³. The calculation puts the energy above the most stable polymorph in this dataset at 36.5 kJ per mole of atoms.


# 3
# LuCdPb

LuCdPb after structural relaxation (PBE-GGA, Alexandria via LeMat-Bulk).

Geometry as POSCAR:
```
LuCdPb
1.0
3.5126 0.0000 0.0000
0.0000 5.0582 0.0000
0.0000 -2.5291 4.3805
Pb Lu Cd
1 1 1
Direct
0.2697 0.3333 0.6667 Pb
0.6745 0.6667 0.3333 Lu
0.0558 0.0000 0.0000 Cd
```

Results
The formation energy is -0.19 eV per atom. The space group is P3m1 (156). Its theoretical density is 10.55 g cm⁻³.


# 4
# LiZrSc2

LiZrSc2 after structural relaxation (PBE-GGA, Alexandria via LeMat-Bulk).

Geometry as POSCAR:
```
LiZrSc2
1.0
0.0000 3.5588 3.5588
3.5588 0.0000 3.5588
3.5588 3.5588 0.0000
Sc Zr Li
2 1 1
Direct
0.2500 0.2500 0.2500 Sc
0.7500 0.7500 0.7500 Sc
0.5000 0.5000 0.5000 Zr
0.0000 0.0000 0.0000 Li
```

Results
The formation energy is 0.26 eV per atom. The space group is Fm-3m (225). Its theoretical density is 3.46 g cm⁻³. The calculation puts the energy above the most stable polymorph in this dataset at 20.6 kJ per mole of atoms.


# 5
# ZrCoSb2

ZrCoSb2 after structural relaxation (PBE-GGA, Alexandria via LeMat-Bulk).

Geometry as POSCAR:
```
ZrCoSb2
1.0
2.2429 1.5750 3.9940
-2.5384 2.1770 3.5044
-0.7165 -2.2525 4.2280
Sb Co Zr
2 1 1
Direct
0.2500 0.2500 0.2500 Sb
0.7500 0.7500 0.7500 Sb
0.0000 0.0000 0.0000 Co
0.5000 0.5000 0.5000 Zr
```

Results
The space group is Fm-3m (225). Its theoretical density is 8.13 g cm⁻³. The value obtained for the uncorrected formation energy is 52 meV/atom.


# 6
# YTm4Ir4

YTm4Ir4 after structural relaxation (PBE-GGA, Alexandria via LeMat-Bulk).

Geometry as POSCAR:
```
YTm4Ir4
1.0
-2.9505 -3.4869 3.2345
6.3390 0.3078 6.1142
-3.9871 6.8865 3.7870
Y Tm Ir
2 8 8
Direct
0.0000 0.0000 0.0000 Y
0.5000 0.5000 0.5000 Y
0.3896 0.3309 0.9081 Tm
0.8896 0.5919 0.8309 Tm
0.3896 0.6691 0.0919 Tm
0.1104 0.1691 0.5919 Tm
0.6104 0.9081 0.6691 Tm
0.1104 0.8309 0.4081 Tm
0.8896 0.4081 0.1691 Tm
0.6104 0.0919 0.3309 Tm
0.6079 0.7801 0.3675 Ir
0.6079 0.2199 0.6325 Ir
0.1079 0.8675 0.7199 Ir
0.8921 0.2801 0.8675 Ir
0.8921 0.7199 0.1325 Ir
0.3921 0.3675 0.2199 Ir
0.3921 0.6325 0.7801 Ir
0.1079 0.1325 0.2801 Ir
```

Results
The formation energy is -0.68 eV per atom. The space group is P4_2/n (86). Its theoretical density is 11.72 g cm⁻³.


# 7
# LaAs2Pb

LaAs2Pb after structural relaxation (PBE-GGA, Alexandria via LeMat-Bulk).

Geometry as POSCAR:
```
LaAs2Pb
1.0
-3.4825 -1.5197 -1.3549
0.5055 -3.2456 2.3410
-3.1833 2.9881 4.8302
Pb As La
1 2 1
Direct
0.5000 0.5000 0.7500 Pb
0.0000 0.0000 0.0376 As
0.0000 0.0000 0.4624 As
0.5000 0.5000 0.2500 La
```

Results
The formation energy is -0.60 eV per atom. The space group is P4/mmm (123). Its theoretical density is 7.77 g cm⁻³. The calculation puts the energy above the most stable polymorph in this dataset at 9.2 kJ per mole of atoms.


# 8
# ScCr2Cl

ScCr2Cl after structural relaxation (PBE-GGA, Alexandria via LeMat-Bulk).

Geometry as POSCAR:
```
ScCr2Cl
1.0
-1.7652 -4.1409 0.7315
0.5394 -0.7516 -2.9531
4.1299 -1.5322 1.2925
Cl Cr Sc
1 2 1
Direct
0.5000 0.7500 0.7500 Cl
0.0000 0.7411 0.0436 Cr
0.0000 0.7589 0.4564 Cr
0.5000 0.2500 0.2500 Sc
```

Results
The space group is P2/m (10). Its theoretical density is 4.73 g cm⁻³. The calculation puts the energy above the most stable polymorph in this dataset at 39.6 kJ per mole of atoms. The value obtained for the uncorrected formation energy is 217 meV/atom.


# 9
# Ho2TmMgHg4

Ho2TmMgHg4 after structural relaxation (PBE-GGA, Alexandria via LeMat-Bulk).

Geometry as POSCAR:
```
Ho2TmMgHg4
1.0
-3.1890 3.3721 2.1783
-3.6195 -1.6235 3.2480
3.1277 1.5041 8.2838
Ho Tm Mg Hg
2 1 1 4
Direct
0.7541 0.7541 0.7378 Ho
0.2459 0.2459 0.2622 Ho
0.0000 0.0000 0.0000 Tm
0.5000 0.5000 0.5000 Mg
0.3731 0.3731 0.8807 Hg
0.8756 0.8756 0.3732 Hg
0.1244 0.1244 0.6268 Hg
0.6269 0.6269 0.1193 Hg
```

Results
The formation energy is -0.47 eV per atom. The space group is R-3m (166). Its theoretical density is 11.40 g cm⁻³.


# 10
# Mg3GaHg2

Mg3GaHg2 after structural relaxation (PBE-GGA, Alexandria via LeMat-Bulk).

Geometry as POSCAR:
```
Mg3GaHg2
1.0
3.3516 0.0000 0.0000
0.0000 3.3516 0.0000
0.0000 0.0000 11.0579
Mg Ga Hg
3 1 2
Direct
0.0000 0.0000 0.0000 Mg
0.0000 0.0000 0.6553 Mg
0.0000 0.0000 0.3447 Mg
0.5000 0.5000 0.5000 Ga
0.5000 0.5000 0.8258 Hg
0.5000 0.5000 0.1742 Hg
```

Results
The formation energy is -0.19 eV per atom. The space group is P4/mmm (123). Its theoretical density is 7.27 g cm⁻³. The calculation puts the energy above the most stable polymorph in this dataset at 0.0 kJ per mole of atoms.


# 11
# GdTmBeRu

GdTmBeRu after structural relaxation (PBE-GGA, Alexandria via LeMat-Bulk).

Geometry as POSCAR:
```
GdTmBeRu
1.0
-4.2974 2.1643 -0.2078
-3.6366 -1.6010 2.7215
-1.5567 2.6252 3.7256
Gd Ru Tm Be
1 1 1 1
Direct
0.5000 0.5000 0.5000 Gd
0.7500 0.7500 0.7500 Ru
0.0000 0.0000 0.0000 Tm
0.2500 0.2500 0.2500 Be
```

Results
The formation energy is -0.14 eV per atom. The space group is F-43m (216). Its theoretical density is 9.17 g cm⁻³.


# 12
# Sc2Nb3Si3

Sc2Nb3Si3 after structural relaxation (PBE-GGA, Alexandria via LeMat-Bulk).

Geometry as POSCAR:
```
Sc2Nb3Si3
1.0
7.7686 -0.0050 0.0000
-3.9401 6.6953 0.0000
0.0000 0.0000 5.3665
Sc Nb Si
4 6 6
Direct
0.7570 0.7570 0.5000 Sc
0.2507 0.0001 0.5000 Sc
0.0001 0.2507 0.5000 Sc
0.2493 0.2493 0.0000 Sc
0.7370 0.9998 0.0000 Nb
0.9998 0.7370 0.0000 Nb
0.6671 0.3338 0.2504 Nb
0.3338 0.6671 0.2504 Nb
0.3338 0.6671 0.7496 Nb
0.6671 0.3338 0.7496 Nb
0.3973 0.3973 0.5000 Si
0.6055 0.9997 0.5000 Si
0.9997 0.6055 0.5000 Si
0.6117 0.6117 0.0000 Si
0.3910 0.9990 0.0000 Si
0.9990 0.3910 0.0000 Si
```

Results
The space group is Amm2 (38). Its theoretical density is 5.39 g cm⁻³. The value obtained for the uncorrected formation energy is -712 meV/atom.


Question: What is the theoretical density in the second record?
Answer: 14.46 g cm⁻³


Question: Among the records above, which one has the highest theoretical density?
Answer: CoRe2Tc


Question: Which value of theoretical density does entry 7 give?
Answer: 7.77 g cm⁻³